(1)
A geometry-optimized NdTm2ScSb4 structure. Source: Alexandria via LeMat-Bulk, functional GGA-PBE.

The structure in extended XYZ format:
```
8
Lattice="-0.565 -2.462 5.621 1.330 -5.560 -2.301 5.577 5.008 -0.624" Properties=species:S:1:pos:R:3 pbc="T T T"
Nd 0.717 -7.517 3.111
Tm 3.597 -1.777 -0.842
Tm 2.649 -0.228 3.120
Sc 0.335 -3.508 1.452
Sb 0.052 -4.738 4.262
Sb 1.000 -6.287 0.301
Sb 3.038 1.021 0.328
Sb 3.208 -3.026 1.951
```

Results
Uncorrected energy (eV/cell): -44.84
SG: No. 139
DOS at the Fermi energy (states/eV/f.u.): 1.21
Formation energy (no corrections) (meV/atom): -1038.0

(2)
A geometry-optimized NdTmSc2Sb4 structure. Source: Alexandria via LeMat-Bulk, functional GGA-PBE.

The structure in extended XYZ format:
```
8
Lattice="-2.489 -1.970 -2.912 -3.803 -3.309 5.490 -3.196 6.505 -1.671" Properties=species:S:1:pos:R:3 pbc="T T T"
Nd -3.146 -2.640 1.289
Tm 0.000 0.000 0.000
Sc -2.842 2.268 -2.291
Sc -3.499 1.598 1.909
Sb -3.041 -0.083 -0.531
Sb -6.446 1.309 1.438
Sb -3.237 3.963 0.084
Sb -3.762 -0.767 3.734
```

Results
Uncorrected energy (eV/cell): -46.53
SG: No. 10
DOS at the Fermi energy (states/eV/f.u.): 1.32
Formation energy (no corrections) (meV/atom): -1016.8

(3)
A geometry-optimized NdY2ScSb4 structure. Source: Alexandria via LeMat-Bulk, functional GGA-PBE.

The structure in extended XYZ format:
```
8
Lattice="4.379 0.000 0.000 0.000 7.569 0.128 0.000 -2.651 7.104" Properties=species:S:1:pos:R:3 pbc="T T T"
Nd 2.190 3.784 0.064
Y 2.190 -1.325 3.552
Y 0.000 2.459 3.616
Sc 0.000 0.000 0.000
Sb 2.190 1.151 1.755
Sb 2.190 3.767 5.476
Sb 0.000 -0.175 5.353
Sb 0.000 5.093 1.879
```

Results
Uncorrected energy (eV/cell): -49.22
SG: No. 10
DOS at the Fermi energy (states/eV/f.u.): 1.17
Formation energy (no corrections) (meV/atom): -1088.2

(4)
A geometry-optimized Nd2YScSb4 structure. Source: Alexandria via LeMat-Bulk, functional GGA-PBE.

The structure in extended XYZ format:
```
8
Lattice="-0.102 1.057 4.284 -6.607 -3.755 0.770 5.801 -4.755 1.312" Properties=species:S:1:pos:R:3 pbc="T T T"
Nd 2.850 -1.849 2.798
Nd -0.403 -4.255 1.041
Y -3.355 -1.349 2.527
Sc 0.000 0.000 0.000
Sb -0.276 -1.462 2.628
Sb -0.633 -5.991 3.737
Sb 2.792 -4.562 1.193
Sb -3.598 -3.949 0.889
```

Results
Uncorrected energy (eV/cell): -47.64
SG: No. 10
DOS at the Fermi energy (states/eV/f.u.): 1.18
Formation energy (no corrections) (meV/atom): -1102.1

(5)
A geometry-optimized Nd8Sb3Se4 structure. Source: Alexandria via LeMat-Bulk, functional GGA-PBE.

The structure in extended XYZ format:
```
15
Lattice="8.669 -0.124 -0.177 -4.232 7.599 0.154 -4.232 -2.494 7.180" Properties=species:S:1:pos:R:3 pbc="T T T"
Nd 2.206 1.166 1.674
Nd -4.232 5.128 1.874
Nd 6.562 1.104 1.586
Nd 0.102 5.055 1.793
Nd 0.102 -0.074 5.363
Nd -6.357 3.877 5.570
Nd -4.232 -0.023 5.459
Nd -2.001 3.816 5.481
Sb 2.218 3.738 -0.012
Sb 2.218 -1.309 3.501
Sb 0.102 2.491 3.578
Se 4.334 -0.062 -0.089
Se -2.116 3.800 0.077
Se 0.000 0.000 0.000
Se -2.116 -1.247 3.590
```

Results
Uncorrected energy (eV/cell): -85.61
SG: No. 12
DOS at the Fermi energy (states/eV/f.u.): 7.25
Formation energy (no corrections) (meV/atom): -1411.0

(6)
A geometry-optimized Nd3SbSe structure. Source: Alexandria via LeMat-Bulk, functional GGA-PBE.

The structure in extended XYZ format:
```
20
Lattice="4.289 0.000 0.000 0.000 8.746 0.000 0.000 0.000 16.046" Properties=species:S:1:pos:R:3 pbc="T T T"
Nd 1.072 3.023 8.754
Nd 3.217 7.316 3.422
Nd 3.217 4.494 14.295
Nd 3.217 0.121 9.774
Nd 3.217 5.723 7.293
Nd 1.072 8.625 6.272
Nd 1.072 7.396 15.316
Nd 3.217 2.943 4.601
Nd 1.072 5.803 11.445
Nd 1.072 1.430 12.625
Nd 3.217 1.350 0.731
Nd 1.072 4.252 1.751
Sb 3.217 7.697 12.885
Sb 1.072 1.049 3.161
Sb 3.217 3.324 11.184
Sb 1.072 5.422 4.862
Se 1.072 2.682 15.261
Se 1.072 7.055 8.808
Se 3.217 1.691 7.238
Se 3.217 6.064 0.785
```

Results
Uncorrected energy (eV/cell): -111.86
SG: No. 62
DOS at the Fermi energy (states/eV/f.u.): 2.37
Formation energy (no corrections) (meV/atom): -1211.1
Excess energy over the best structure of this formula in the dataset (meV per atom): 0

(7)
A geometry-optimized Nd2SbSe6 structure. Source: Alexandria via LeMat-Bulk, functional GGA-PBE.

The structure in extended XYZ format:
```
18
Lattice="6.687 0.000 0.000 0.000 6.687 0.000 0.000 0.000 13.013" Properties=species:S:1:pos:R:3 pbc="T T T"
Nd 0.000 0.000 4.376
Nd 3.344 3.344 10.883
Nd 3.344 3.344 2.130
Nd 0.000 0.000 8.636
Sb 0.000 0.000 0.000
Sb 3.344 3.344 6.506
Se 2.087 2.087 4.488
Se 4.600 4.600 4.488
Se 1.257 5.430 10.994
Se 5.430 1.257 10.994
Se 1.257 5.430 2.018
Se 5.430 1.257 2.018
Se 2.087 2.087 8.524
Se 4.600 4.600 8.524
Se 1.921 1.921 0.000
Se 4.766 4.766 0.000
Se 1.423 5.265 6.506
Se 5.265 1.423 6.506
```

Results
Uncorrected energy (eV/cell): -83.70
SG: No. 136
DOS at the Fermi energy (states/eV/f.u.): 7.50
Formation energy (no corrections) (meV/atom): -809.6

(8)
A geometry-optimized NdSbSe2 structure. Source: Alexandria via LeMat-Bulk, functional GGA-PBE.

The structure in extended XYZ format:
```
4
Lattice="-1.186 2.070 -3.390 -3.561 2.122 0.007 2.789 8.723 1.815" Properties=species:S:1:pos:R:3 pbc="T T T"
Sb 0.000 0.000 0.000
Nd -0.979 6.457 -0.784
Se 1.427 6.439 0.898
Se -3.385 6.475 -2.465
```

Results
Uncorrected energy (eV/cell): -19.62
SG: No. 166
DOS at the Fermi energy (states/eV/f.u.): 0.84
Formation energy (no corrections) (meV/atom): -939.2

(9)
A geometry-optimized Nd6Sb5Se structure. Source: Alexandria via LeMat-Bulk, functional GGA-PBE.

The structure in extended XYZ format:
```
12
Lattice="-4.366 -6.200 -1.655 4.545 -6.262 -0.668 1.537 -4.365 6.229" Properties=species:S:1:pos:R:3 pbc="T T T"
Sb -0.397 -7.048 3.185
Sb 2.028 -3.542 1.850
Sb 0.090 -6.231 -1.162
Sb 4.055 -7.085 3.711
Sb 2.114 -9.779 0.721
Nd -2.410 -6.619 0.745
Nd 2.107 -6.654 1.244
Nd 0.026 -3.084 -0.577
Nd 0.154 -9.378 -1.746
Nd -0.390 -10.173 2.662
Nd 4.127 -10.208 3.161
Se 0.000 0.000 0.000
```

Results
Uncorrected energy (eV/cell): -68.44
SG: No. 12
DOS at the Fermi energy (states/eV/f.u.): 2.97
Formation energy (no corrections) (meV/atom): -1311.1

(10)
A geometry-optimized Nd3SbSe structure. Source: Alexandria via LeMat-Bulk, functional GGA-PBE.

The structure in extended XYZ format:
```
10
Lattice="4.342 0.000 0.000 0.000 7.361 -0.659 0.000 -4.304 11.473" Properties=species:S:1:pos:R:3 pbc="T T T"
Nd 1.086 -2.311 10.433
Nd 3.257 5.368 0.381
Nd 1.086 -0.581 4.661
Nd 3.257 3.638 6.153
Nd 1.086 0.922 8.271
Nd 3.257 2.136 2.543
Sb 1.086 0.172 1.640
Sb 3.257 2.886 9.174
Se 1.086 -1.819 7.401
Se 3.257 4.877 3.413
```

Results
Uncorrected energy (eV/cell): -53.02
SG: No. 11
DOS at the Fermi energy (states/eV/f.u.): 4.82
Formation energy (no corrections) (meV/atom): -920.0
Excess energy over the best structure of this formula in the dataset (meV per atom): 291

(11)
A geometry-optimized Nd4SbSe2 structure. Source: Alexandria via LeMat-Bulk, functional GGA-PBE.

The structure in extended XYZ format:
```
14
Lattice="4.264 0.000 0.000 -2.132 6.929 0.000 0.000 0.000 14.188" Properties=species:S:1:pos:R:3 pbc="T T T"
Nd 2.132 3.778 1.727
Nd 2.132 3.778 5.366
Nd 0.000 3.151 12.460
Nd 0.000 3.151 8.821
Nd 2.132 6.089 10.641
Nd 0.000 0.840 3.547
Nd 2.132 0.000 0.000
Nd 2.132 0.000 7.094
Sb 2.132 1.460 10.641
Sb 0.000 5.470 3.547
Se 0.000 1.893 6.228
Se 2.132 5.036 13.322
Se 0.000 1.893 0.866
Se 2.132 5.036 7.959
```

Results
Uncorrected energy (eV/cell): -79.65
SG: No. 63
DOS at the Fermi energy (states/eV/f.u.): 5.58
Formation energy (no corrections) (meV/atom): -1380.2

(12)
A geometry-optimized Nd6SbSe12 structure. Source: Alexandria via LeMat-Bulk, functional GGA-PBE.

The structure in extended XYZ format:
```
19
Lattice="-5.891 -3.380 -4.903 -3.770 -1.131 7.394 -1.945 8.067 -1.140" Properties=species:S:1:pos:R:3 pbc="T T T"
Nd -7.953 -0.363 2.626
Nd -5.244 -1.406 -0.925
Nd -3.850 1.392 3.684
Nd -3.653 3.919 -1.275
Nd -6.362 4.962 2.276
Nd -7.756 2.164 -2.333
Sb 0.000 0.000 0.000
Se -7.790 -0.012 -0.280
Se -6.677 2.247 3.337
Se -6.538 4.201 -0.611
Se -3.816 3.568 1.631
Se -4.929 1.309 -1.986
Se -5.068 -0.645 1.962
Se -4.585 1.432 6.671
Se -4.497 6.916 3.749
Se -7.587 -3.185 3.794
Se -7.021 2.124 -5.320
Se -7.108 -3.359 -2.398
Se -4.018 6.742 -2.443
```

Results
Uncorrected energy (eV/cell): -102.33
SG: No. 148
DOS at the Fermi energy (states/eV/f.u.): 12.05
Formation energy (no corrections) (meV/atom): -1462.5

> Which formula does entry 7 have?

Nd2SbSe6